P) {
  "formula": "Mn4As5",
  "functional": "PBE",
  "state": "optimized geometry",
  "lattice": [[7.924, 0.000, 0.000], [-3.962, 6.863, 0.000], [0.000, 0.000, 5.451]],
  "species": ["As", "As", "As", "As", "As", "As", "As", "As", "As", "As", "Mn", "Mn", "Mn", "Mn", "Mn", "Mn", "Mn", "Mn"],
  "fractional_positions": [[0.274, 0.000, 0.750], [0.333, 0.667, 0.000], [0.000, 0.274, 0.750], [0.667, 0.333, 0.500], [0.667, 0.333, 0.000], [0.274, 0.274, 0.250], [0.726, 0.000, 0.250], [0.726, 0.726, 0.750], [0.333, 0.667, 0.500], [0.000, 0.726, 0.250], [0.382, 0.000, 0.250], [0.000, 0.618, 0.750], [0.000, 0.382, 0.250], [0.618, 0.000, 0.750], [0.000, 0.000, 0.500], [0.000, 0.000, 0.000], [0.382, 0.382, 0.750], [0.618, 0.618, 0.250]]
}

Q) {
  "formula": "Mn4As5",
  "functional": "PBE",
  "state": "optimized geometry",
  "lattice": [[-2.220, -4.358, -3.497], [1.278, 0.853, 5.813], [-4.720, 3.711, -0.304]],
  "species": ["Mn", "Mn", "Mn", "Mn", "As", "As", "As", "As", "As"],
  "fractional_positions": [[0.642, 0.000, 0.642], [0.000, 0.642, 0.642], [0.000, 0.358, 0.358], [0.358, 0.000, 0.358], [0.682, 0.682, 0.363], [0.318, 0.318, 0.637], [0.000, 0.000, 0.000], [0.318, 0.682, 0.000], [0.682, 0.318, 0.000]]
}

P) ends up most stable, edging out the next structure by 288 meV/atom.

P) {
  "formula": "MnMoAs2",
  "functional": "PBE",
  "state": "optimized geometry",
  "lattice": [[-2.486, -0.896, -6.773], [-2.217, -4.044, -5.621], [-4.930, -2.204, -4.868]],
  "species": ["As", "As", "Mn", "Mo"],
  "fractional_positions": [[0.001, 0.001, 0.001], [0.499, 0.499, 0.499], [0.250, 0.250, 0.250], [0.750, 0.750, 0.750]]
}

Q) {
  "formula": "MnMoAs2",
  "functional": "PBE",
  "state": "optimized geometry",
  "lattice": [[2.887, 0.000, 0.000], [0.000, 2.887, 0.000], [0.000, 0.000, 7.911]],
  "species": ["As", "As", "Mn", "Mo"],
  "fractional_positions": [[0.500, 0.500, 0.331], [0.000, 0.000, 0.949], [0.000, 0.000, 0.508], [0.500, 0.500, 0.712]]
}

Q) ends up most stable, edging out the next structure by 69 meV/atom.

P) {
  "formula": "MnMoAs2",
  "functional": "PBE",
  "state": "optimized geometry",
  "lattice": [[1.393, 0.642, 4.073], [-1.714, -2.299, 3.274], [2.377, -3.053, 1.993]],
  "species": ["As", "As", "Mn", "Mo"],
  "fractional_positions": [[0.250, 0.250, 0.250], [0.750, 0.750, 0.750], [0.000, 0.000, 0.000], [0.500, 0.500, 0.500]]
}

Q) {
  "formula": "MnMoAs2",
  "functional": "PBE",
  "state": "optimized geometry",
  "lattice": [[4.694, 0.000, 0.000], [0.000, 3.282, 0.113], [0.000, 1.525, 4.541]],
  "species": ["As", "As", "Mo", "Mn"],
  "fractional_positions": [[0.000, 0.705, 0.949], [0.500, 0.546, 0.297], [0.500, 0.835, 0.709], [0.000, 0.414, 0.545]]
}

R) {
  "formula": "MnMoAs2",
  "functional": "PBE",
  "state": "optimized geometry",
  "lattice": [[-0.437, 1.322, -2.418], [1.647, -2.120, -0.763], [-7.661, -5.389, -1.561]],
  "species": ["As", "As", "Mn", "Mo"],
  "fractional_positions": [[0.500, 0.500, 0.329], [0.000, 0.000, 0.932], [0.000, 0.000, 0.517], [0.500, 0.500, 0.722]]
}

Q) ends up most stable, edging out the next structure by 63 meV/atom.

P) {
  "formula": "MnMoAs2",
  "functional": "PBE",
  "state": "optimized geometry",
  "lattice": [[4.758, -0.012, -0.173], [3.654, 3.048, -0.173], [1.048, 0.378, 4.210]],
  "species": ["Mo", "As", "As", "Mn"],
  "fractional_positions": [[0.271, 0.271, 0.174], [0.751, 0.751, 0.677], [0.996, 0.996, 0.072], [0.482, 0.482, 0.577]]
}

Q) {
  "formula": "MnMoAs2",
  "functional": "PBE",
  "state": "optimized geometry",
  "lattice": [[-4.851, -4.926, -7.696], [-2.192, -4.925, -8.830], [-2.980, -7.015, -6.995]],
  "species": ["Mn", "Mo", "As", "As"],
  "fractional_positions": [[0.493, 0.493, 0.493], [0.761, 0.761, 0.761], [0.026, 0.026, 0.026], [0.220, 0.220, 0.220]]
}

P) ends up most stable, edging out the next structure by 199 meV/atom.

P) {
  "formula": "MnMoAs2",
  "functional": "PBE",
  "state": "optimized geometry",
  "lattice": [[5.765, 0.000, 0.000], [0.000, 5.765, 0.000], [2.882, 2.882, 5.510]],
  "species": ["Mo", "Mo", "Mn", "Mn", "As", "As", "As", "As"],
  "fractional_positions": [[0.000, 0.000, 0.000], [0.750, 0.250, 0.500], [0.250, 0.750, 0.500], [0.500, 0.500, 0.000], [0.375, 0.374, 0.750], [0.626, 0.125, 0.250], [0.875, 0.876, 0.750], [0.124, 0.625, 0.250]]
}

Q) {
  "formula": "MnMoAs2",
  "functional": "PBE",
  "state": "optimized geometry",
  "lattice": [[-2.825, -2.906, -1.845], [-2.938, -2.171, 2.546], [-4.336, 0.978, -0.275]],
  "species": ["As", "As", "Mn", "Mo"],
  "fractional_positions": [[0.250, 0.250, 0.250], [0.000, 0.000, 0.000], [0.500, 0.500, 0.500], [0.750, 0.750, 0.750]]
}

Q) ends up most stable, edging out the next structure by 16 meV/atom.

P) {
  "formula": "MnMoAs2",
  "functional": "PBE",
  "state": "optimized geometry",
  "lattice": [[4.415, -0.002, -0.268], [3.254, 2.984, -0.268], [0.789, 0.307, 4.885]],
  "species": ["As", "As", "Mn", "Mo"],
  "fractional_positions": [[0.521, 0.521, 0.480], [0.979, 0.979, 0.020], [0.750, 0.750, 0.750], [0.250, 0.250, 0.250]]
}

Q) {
  "formula": "MnMoAs2",
  "functional": "PBE",
  "state": "optimized geometry",
  "lattice": [[6.064, 0.017, -0.006], [4.206, 4.368, 0.006], [-5.142, -2.176, 2.365]],
  "species": ["As", "As", "Mo", "Mn"],
  "fractional_positions": [[0.966, 0.966, 0.000], [0.703, 0.203, 0.500], [0.294, 0.794, 0.500], [0.537, 0.537, 0.000]]
}

Q) ends up most stable, edging out the next structure by 256 meV/atom.

P) {
  "formula": "MnAs3N",
  "functional": "PBE",
  "state": "optimized geometry",
  "lattice": [[4.458, 0.000, 0.000], [0.000, 4.458, 0.000], [0.000, 0.000, 4.458]],
  "species": ["As", "As", "As", "N", "Mn"],
  "fractional_positions": [[0.000, 0.000, 0.500], [0.000, 0.500, 0.000], [0.500, 0.000, 0.000], [0.500, 0.500, 0.500], [0.000, 0.000, 0.000]]
}

Q) {
  "formula": "MnAs3N",
  "functional": "PBE",
  "state": "optimized geometry",
  "lattice": [[-1.597, -3.295, 2.080], [-1.933, -1.281, -3.514], [3.383, -2.288, -1.027]],
  "species": ["As", "As", "As", "N", "Mn"],
  "fractional_positions": [[0.000, 0.500, 0.000], [0.000, 0.000, 0.500], [0.500, 0.000, 0.000], [0.000, 0.000, 0.000], [0.500, 0.500, 0.500]]
}

Q) ends up most stable, edging out the next structure by 206 meV/atom.

P) {
  "formula": "MnAsSN2",
  "functional": "PBE",
  "state": "optimized geometry",
  "lattice": [[3.627, 0.000, 0.000], [0.000, 3.627, 0.000], [0.000, 0.000, 4.940]],
  "species": ["Mn", "N", "N", "S", "As"],
  "fractional_positions": [[0.000, 0.000, 0.000], [0.500, 0.000, 0.000], [0.000, 0.500, 0.000], [0.000, 0.000, 0.500], [0.500, 0.500, 0.500]]
}

Q) {
  "formula": "MnAsSN2",
  "functional": "PBE",
  "state": "optimized geometry",
  "lattice": [[3.652, 0.000, 0.000], [0.000, 3.652, 0.000], [0.000, 0.000, 5.656]],
  "species": ["S", "N", "N", "Mn", "As"],
  "fractional_positions": [[0.000, 0.000, 0.500], [0.500, 0.000, 0.000], [0.000, 0.500, 0.000], [0.500, 0.500, 0.500], [0.000, 0.000, 0.000]]
}

P) ends up most stable, edging out the next structure by 313 meV/atom.